(1)
ScBeRh2: optimized geometry, PBE.

Computed properties:
ΔH_f (0 K): -0.2851 eV per atom
Space-group type: F-43m
Electronic total energy: -6.48 eV/atom
Density: 7376 kg/m3

Lattice parameters (Å, degrees): 4.3569 4.3569 4.3569 60.00 60.00 60.00
Element x y z (fractional)
Sc 0.7500 0.7500 0.7500
Be 0.5000 0.5000 0.5000
Rh 0.0000 0.0000 0.0000
Rh 0.2500 0.2500 0.2500

***

(2)
Sc2BeSi2Rh5: optimized geometry, PBE.

Computed properties:
Formation energy from raw total energies: -892 meV per atom
Space-group type: P4/mbm
Electronic total energy: -7.29 eV/atom
Density: 7575 kg/m3

Lattice parameters (Å, degrees): 3.2824 9.4574 9.4574 90.00 90.00 90.00
Element x y z (fractional)
Sc 0.0000 0.6714 0.1714
Sc 0.0000 0.3286 0.8286
Sc 0.0000 0.1714 0.3286
Sc 0.0000 0.8286 0.6714
Be 0.0000 0.0000 0.0000
Be 0.0000 0.5000 0.5000
Si 0.0000 0.1307 0.6307
Si 0.0000 0.8693 0.3693
Si 0.0000 0.6307 0.8693
Si 0.0000 0.3693 0.1307
Rh 0.5000 0.2006 0.0680
Rh 0.5000 0.7994 0.9320
Rh 0.5000 0.0680 0.7994
Rh 0.5000 0.7006 0.4320
Rh 0.5000 0.9320 0.2006
Rh 0.5000 0.2994 0.5680
Rh 0.5000 0.5680 0.7006
Rh 0.5000 0.4320 0.2994
Rh 0.5000 0.5000 0.0000
Rh 0.5000 0.0000 0.5000

***

(3)
Sc2Be2SiRh5: optimized geometry, PBE.

Computed properties:
Formation energy from raw total energies: -922 meV per atom
Space-group type: P4/mbm
Electronic total energy: -7.15 eV/atom
Density: 7963 kg/m3

Lattice parameters (Å, degrees): 3.0476 9.4355 9.4355 90.00 90.00 90.00
Element x y z (fractional)
Sc 0.0000 0.6742 0.1742
Sc 0.0000 0.3258 0.8258
Sc 0.0000 0.1742 0.3258
Sc 0.0000 0.8258 0.6742
Be 0.0000 0.1246 0.6246
Be 0.0000 0.8754 0.3754
Be 0.0000 0.6246 0.8754
Be 0.0000 0.3754 0.1246
Si 0.0000 0.0000 0.0000
Si 0.0000 0.5000 0.5000
Rh 0.5000 0.2041 0.0680
Rh 0.5000 0.7959 0.9320
Rh 0.5000 0.0680 0.7959
Rh 0.5000 0.7041 0.4320
Rh 0.5000 0.9320 0.2041
Rh 0.5000 0.2959 0.5680
Rh 0.5000 0.5680 0.7041
Rh 0.5000 0.4320 0.2959
Rh 0.5000 0.5000 0.0000
Rh 0.5000 0.0000 0.5000